# 1
# TbMg4Hg2

An optimized crystal structure of TbMg4Hg2 (PBE, the Alexandria database).

Calculated values
**Theoretical density**: 6.56 Mg/m³
**Relative energy among the computed polymorphs**: 0.248 eV per formula unit
**Calculated volume**: 333 Å³ per cell
**E_form**: -1.38 eV/f.u.
**Crystal system**: orthorhombic

```
data_TbMg4Hg2
_cell_length_a 4.363
_cell_length_b 17.592
_cell_length_c 4.338
_cell_angle_alpha 90.00
_cell_angle_beta 90.00
_cell_angle_gamma 90.00
_space_group_name_H-M_alt 'C m m m'
_space_group_IT_number 65
_space_group_name_Hall '-C 2 2'
loop_
_atom_site_label
_atom_site_fract_x
_atom_site_fract_y
_atom_site_fract_z
Tb1 0.000 0.000 0.000
Mg1 0.000 0.182 0.500
Mg2 0.000 0.316 0.000
Hg1 0.000 0.420 0.500
```

---

# 2
# KNa4Pb

An optimized crystal structure of KNa4Pb (PBE, the Alexandria database).

Calculated values
**Theoretical density**: 2.45 Mg/m³
**Relative energy among the computed polymorphs**: 0.063 eV per formula unit
**Calculated volume**: 230 Å³ per cell
**E_form**: -0.25 eV/f.u.
**Crystal system**: triclinic

```
data_KNa4Pb
_cell_length_a 4.029
_cell_length_b 4.363
_cell_length_c 13.056
_cell_angle_alpha 89.93
_cell_angle_beta 89.70
_cell_angle_gamma 89.93
_space_group_name_H-M_alt 'P -1'
_space_group_IT_number 2
loop_
_space_group_symop_operation_xyz
'x,y,z'
'-x,-y,-z'
loop_
_atom_site_label
_atom_site_fract_x
_atom_site_fract_y
_atom_site_fract_z
K1 0.000 0.000 0.000
Na1 0.004 0.000 0.375
Na2 0.494 0.499 0.771
Pb1 0.500 0.500 0.500
```

---

# 3
# Pa2Ge2Rh3

An optimized crystal structure of Pa2Ge2Rh3 (PBE, the Alexandria database).

Calculated values
**Theoretical density**: 11.70 Mg/m³
**Calculated volume**: 260 Å³ per cell
**E_form**: -5.22 eV/f.u.
**Crystal system**: monoclinic

```
data_Pa2Ge2Rh3
_cell_length_a 10.426
_cell_length_b 3.935
_cell_length_c 6.386
_cell_angle_alpha 90.00
_cell_angle_beta 97.14
_cell_angle_gamma 90.00
_space_group_name_H-M_alt 'C 1 2/m 1'
_space_group_IT_number 12
loop_
_space_group_symop_operation_xyz
'x,y,z'
'-x,-y,-z'
'-x,y,-z'
'x,-y,z'
'x+1/2,y+1/2,z'
'-x+1/2,-y+1/2,-z'
'-x+1/2,y+1/2,-z'
'x+1/2,-y+1/2,z'
loop_
_atom_site_label
_atom_site_fract_x
_atom_site_fract_y
_atom_site_fract_z
Pa1 0.121 0.000 0.279
Ge1 0.100 0.500 0.639
Rh1 0.000 0.500 0.000
Rh2 0.188 0.000 0.859
```

---

# 4
# HgBI3

An optimized crystal structure of HgBI3 (PBE, the Alexandria database).

Calculated values
**Formation energy without anion corrections**: 1029 meV/atom
**Theoretical density**: 4.72 Mg/m³
**Relative energy among the computed polymorphs**: 2.224 eV per formula unit
**Calculated volume**: 208 Å³ per cell
**Crystal system**: cubic

```
data_HgBI3
_cell_length_a 5.928
_cell_length_b 5.928
_cell_length_c 5.928
_cell_angle_alpha 90.00
_cell_angle_beta 90.00
_cell_angle_gamma 90.00
_space_group_name_H-M_alt 'P m -3 m'
_space_group_IT_number 221
_space_group_name_Hall '-P 4 2 3'
loop_
_atom_site_label
_atom_site_fract_x
_atom_site_fract_y
_atom_site_fract_z
Hg1 0.000 0.000 0.000
B1 0.500 0.500 0.500
I1 0.000 0.000 0.500
```

---

# 5
# Pm6N5O

An optimized crystal structure of Pm6N5O (PBE, the Alexandria database).

Calculated values
**Formation energy without anion corrections**: -1730 meV/atom
**Theoretical density**: 8.02 Mg/m³
**Calculated volume**: 396 Å³ per cell
**Crystal system**: monoclinic

```
data_Pm6N5O
_cell_length_a 6.234
_cell_length_b 10.798
_cell_length_c 6.236
_cell_angle_alpha 90.00
_cell_angle_beta 109.49
_cell_angle_gamma 90.00
_space_group_name_H-M_alt 'C 1 2/m 1'
_space_group_IT_number 12
loop_
_space_group_symop_operation_xyz
'x,y,z'
'-x,-y,-z'
'-x,y,-z'
'x,-y,z'
'x+1/2,y+1/2,z'
'-x+1/2,-y+1/2,-z'
'-x+1/2,y+1/2,-z'
'x+1/2,-y+1/2,z'
loop_
_atom_site_label
_atom_site_fract_x
_atom_site_fract_y
_atom_site_fract_z
Pm1 0.247 0.000 0.254
Pm2 0.247 0.169 0.748
N1 0.000 0.000 0.500
N2 0.000 0.166 0.000
N3 0.000 0.332 0.500
O1 0.000 0.500 0.000
```

---

# 6
# Al2HgP

An optimized crystal structure of Al2HgP (PBE, the Alexandria database).

Calculated values
**Theoretical density**: 6.39 Mg/m³
**Relative energy among the computed polymorphs**: 1.636 eV per formula unit
**Calculated volume**: 297 Å³ per cell
**E_form**: 1.17 eV/f.u.
**Crystal system**: cubic

```
data_Al2HgP
_cell_length_a 6.670
_cell_length_b 6.670
_cell_length_c 6.670
_cell_angle_alpha 90.00
_cell_angle_beta 90.00
_cell_angle_gamma 90.00
_space_group_name_H-M_alt 'F m -3 m'
_space_group_IT_number 225
_space_group_name_Hall '-F 4 2 3'
loop_
_atom_site_label
_atom_site_fract_x
_atom_site_fract_y
_atom_site_fract_z
Al1 0.250 0.250 0.250
Hg1 0.000 0.000 0.000
P1 0.000 0.000 0.500
```

---

# 7
# InPbSe2O8

An optimized crystal structure of InPbSe2O8 (PBE, the Alexandria database).

Calculated values
**Formation energy without anion corrections**: -865 meV/atom
**Theoretical density**: 5.02 Mg/m³
**Calculated volume**: 402 Å³ per cell
**Crystal system**: monoclinic

```
data_InPbSe2O8
_cell_length_a 8.800
_cell_length_b 5.923
_cell_length_c 7.721
_cell_angle_alpha 90.00
_cell_angle_beta 91.56
_cell_angle_gamma 90.00
_space_group_name_H-M_alt 'C 1 2/m 1'
_space_group_IT_number 12
loop_
_space_group_symop_operation_xyz
'x,y,z'
'-x,-y,-z'
'-x,y,-z'
'x,-y,z'
'x+1/2,y+1/2,z'
'-x+1/2,-y+1/2,-z'
'-x+1/2,y+1/2,-z'
'x+1/2,-y+1/2,z'
loop_
_atom_site_label
_atom_site_fract_x
_atom_site_fract_y
_atom_site_fract_z
In1 0.000 0.000 0.000
Pb1 0.000 0.000 0.500
Se1 0.135 0.500 0.775
O1 0.028 0.248 0.784
O2 0.219 0.500 0.583
O3 0.246 0.000 0.049
```

---

# 8
# LuVCl2

An optimized crystal structure of LuVCl2 (PBE, the Alexandria database).

Calculated values
**Formation energy without anion corrections**: -462 meV/atom
**Theoretical density**: 6.13 Mg/m³
**Calculated volume**: 241 Å³ per cell
**Crystal system**: trigonal

```
data_LuVCl2
_cell_length_a 3.2689
_cell_length_b 3.2689
_cell_length_c 26.0666
_cell_angle_alpha 90.00
_cell_angle_beta 90.00
_cell_angle_gamma 120.00
_space_group_name_H-M_alt 'R -3 m'
_space_group_IT_number 166
_space_group_name_Hall '-R 3 2"'
loop_
_atom_site_label
_atom_site_fract_x
_atom_site_fract_y
_atom_site_fract_z
Lu1 0.0000 0.0000 0.0000
V1 0.0000 0.0000 0.5000
Cl1 0.0000 0.0000 0.1055
```

---

# 9
# PaAgGe

An optimized crystal structure of PaAgGe (PBE, the Alexandria database).

Calculated values
**Theoretical density**: 11.23 Mg/m³
**Relative energy among the computed polymorphs**: 0.014 eV per formula unit
**Calculated volume**: 243 Å³ per cell
**E_form**: -0.34 eV/f.u.
**Crystal system**: orthorhombic

```
data_PaAgGe
_cell_length_a 4.171
_cell_length_b 13.741
_cell_length_c 4.245
_cell_angle_alpha 90.00
_cell_angle_beta 90.00
_cell_angle_gamma 90.00
_space_group_name_H-M_alt 'C m c m'
_space_group_IT_number 63
_space_group_name_Hall '-C 2c 2'
loop_
_atom_site_label
_atom_site_fract_x
_atom_site_fract_y
_atom_site_fract_z
Pa1 0.000 0.064 0.250
Ag1 0.000 0.255 0.750
Ge1 0.000 0.389 0.250
```

---

# 10
# Dy2CoSe

An optimized crystal structure of Dy2CoSe (PBE, the Alexandria database).

Calculated values
**Formation energy without anion corrections**: -847 meV/atom
**Theoretical density**: 8.46 Mg/m³
**Relative energy among the computed polymorphs**: 0.499 eV per formula unit
**Calculated volume**: 273 Å³ per cell
**Crystal system**: trigonal

```
data_Dy2CoSe
_cell_length_a 3.8636
_cell_length_b 3.8636
_cell_length_c 21.0825
_cell_angle_alpha 90.00
_cell_angle_beta 90.00
_cell_angle_gamma 120.00
_space_group_name_H-M_alt 'R -3 m'
_space_group_IT_number 166
_space_group_name_Hall '-R 3 2"'
loop_
_atom_site_label
_atom_site_fract_x
_atom_site_fract_y
_atom_site_fract_z
Dy1 0.0000 0.0000 0.2416
Co1 0.0000 0.0000 0.5000
Se1 0.0000 0.0000 0.0000
```

---

# 11
# Pr4RhBr2N

An optimized crystal structure of Pr4RhBr2N (PBE, the Alexandria database).

Calculated values
**Formation energy without anion corrections**: -1118 meV/atom
**Theoretical density**: 6.64 Mg/m³
**Calculated volume**: 210 Å³ per cell
**Crystal system**: monoclinic

```
data_Pr4RhBr2N
_cell_length_a 7.101
_cell_length_b 3.877
_cell_length_c 7.987
_cell_angle_alpha 90.00
_cell_angle_beta 107.01
_cell_angle_gamma 90.00
_space_group_name_H-M_alt 'P 1 2/m 1'
_space_group_IT_number 10
loop_
_space_group_symop_operation_xyz
'x,y,z'
'-x,-y,-z'
'-x,y,-z'
'x,-y,z'
loop_
_atom_site_label
_atom_site_fract_x
_atom_site_fract_y
_atom_site_fract_z
Pr1 0.203 0.000 0.185
Pr2 0.244 0.500 0.810
Rh1 0.500 0.000 0.000
Br1 0.000 0.000 0.500
Br2 0.500 0.500 0.500
N1 0.000 0.500 0.000
```

---

# 12
# Mg3TlO

An optimized crystal structure of Mg3TlO (PBE, the Alexandria database).

Calculated values
**Formation energy without anion corrections**: 497 meV/atom
**Theoretical density**: 3.32 Mg/m³
**Relative energy among the computed polymorphs**: 7.031 eV per formula unit
**Calculated volume**: 147 Å³ per cell
**Crystal system**: cubic

```
data_Mg3TlO
_cell_length_a 5.273
_cell_length_b 5.273
_cell_length_c 5.273
_cell_angle_alpha 90.00
_cell_angle_beta 90.00
_cell_angle_gamma 90.00
_space_group_name_H-M_alt 'P m -3 m'
_space_group_IT_number 221
_space_group_name_Hall '-P 4 2 3'
loop_
_atom_site_label
_atom_site_fract_x
_atom_site_fract_y
_atom_site_fract_z
Mg1 0.000 0.000 0.500
Tl1 0.000 0.000 0.000
O1 0.500 0.500 0.500
```

---

no.,spin magnetization (μB per formula unit),DOS(E_F) (states/eV/atom)
1,0.00,0.4379
2,0.00,0.5512
3,0.00,0.5629
4,0.00,0.2351
5,0.00,0.1345
6,0.00,0.5273
7,0.00,0.1486
8,0.58,1.0992
9,0.00,1.2847
10,0.00,0.5485
11,0.00,0.7892
12,1.00,1.1674